{"formula": "PmDy2Sc", "functional": "PBE-GGA", "state": "optimized geometry", "cell": [[-0.9591, 1.2213, -4.7439], [-4.8292, -0.0549, 0.9623], [0.1833, 4.7745, 1.1921]], "species": ["Sc", "Dy", "Dy", "Pm"], "fractional_positions": [[0.5000, 0.0000, 0.0000], [0.0000, 0.0000, 0.5000], [0.0000, 0.5000, 0.0000], [0.5000, 0.5000, 0.5000]], "formation_energy_mev_per_atom": 40.8, "dos_ef_per_ev_cell": 6.2}


{"formula": "CaSbW2Au", "functional": "PBE-GGA", "state": "optimized geometry", "cell": [[-2.5028, 5.4603, 8.1438], [-4.3655, -1.6620, -0.2272], [1.2195, -3.5792, 2.7516]], "species": ["Ca", "Ca", "Au", "Au", "W", "W", "W", "W", "Sb", "Sb"], "fractional_positions": [[0.0220, 0.0000, 0.6503], [0.0220, 0.5000, 0.1503], [0.8316, 0.5000, 0.6492], [0.8316, 0.0000, 0.1492], [0.3715, 0.0000, 0.6537], [0.3715, 0.5000, 0.1537], [0.2451, 0.5000, 0.6525], [0.2451, 0.0000, 0.1525], [0.5515, 0.5000, 0.6552], [0.5515, 0.0000, 0.1552]], "dos_ef_per_ev_cell": 6.1, "e_form_raw_ev_per_fu": 0.91}


{"formula": "AgPt2W", "functional": "PBE-GGA", "state": "optimized geometry", "cell": [[9.5810, 0.0015, 0.0009], [9.1695, 2.7775, 0.0009], [9.1695, 1.3590, 2.4223]], "species": ["Pt", "Pt", "W", "Ag"], "fractional_positions": [[0.9987, 0.9987, 0.9987], [0.2474, 0.2474, 0.2474], [0.5038, 0.5038, 0.5038], [0.7501, 0.7501, 0.7501]], "formation_energy_mev_per_atom": 9.4, "dos_ef_per_ev_cell": 0.9}


{"formula": "La2TbScO", "functional": "PBE-GGA", "state": "optimized geometry", "cell": [[4.7170, 0.0000, 0.0000], [0.0000, 5.2195, 0.0000], [0.0000, 0.0000, 5.2195]], "species": ["Sc", "Tb", "La", "La", "O"], "fractional_positions": [[0.5000, 0.5000, 0.5000], [0.5000, 0.0000, 0.0000], [0.0000, 0.0000, 0.5000], [0.0000, 0.5000, 0.0000], [0.0000, 0.0000, 0.0000]], "dos_ef_per_ev_cell": 6.2, "e_form_raw_ev_per_fu": -5.73}


{"formula": "UH2SeO6", "functional": "PBE-GGA", "state": "optimized geometry", "cell": [[-2.9375, 3.1724, 3.3859], [-2.2862, -4.8234, 2.5358], [5.3943, 0.2675, 5.3723]], "species": ["H", "H", "H", "H", "O", "O", "O", "O", "O", "O", "O", "O", "O", "O", "O", "O", "Se", "Se", "U", "U"], "fractional_positions": [[0.7520, 0.2260, 0.2733], [0.2520, 0.2740, 0.7733], [0.7480, 0.7260, 0.2267], [0.2480, 0.7740, 0.7267], [0.2521, 0.2744, 0.9085], [0.7556, 0.2379, 0.0674], [0.6175, 0.0111, 0.7472], [0.7479, 0.7256, 0.0915], [0.2444, 0.7621, 0.9326], [0.1175, 0.4889, 0.2472], [0.8825, 0.5111, 0.7528], [0.7444, 0.7379, 0.4326], [0.2479, 0.7744, 0.5915], [0.2556, 0.2621, 0.5674], [0.3825, 0.9889, 0.2528], [0.7521, 0.2256, 0.4085], [0.5000, 0.0000, 0.5000], [0.0000, 0.5000, 0.0000], [0.0000, 0.5000, 0.5000], [0.5000, 0.0000, 0.0000]]}


{"formula": "HgAuCl2", "functional": "PBE-GGA", "state": "optimized geometry", "cell": [[6.3500, 0.0000, 0.0000], [0.0000, 6.3500, 0.0000], [3.1750, 3.1750, 6.1856]], "species": ["Cl", "Cl", "Cl", "Cl", "Au", "Au", "Hg", "Hg"], "fractional_positions": [[0.5871, 0.1250, 0.2500], [0.8750, 0.8371, 0.7500], [0.1629, 0.6250, 0.2500], [0.3750, 0.4129, 0.7500], [0.2500, 0.7500, 0.5000], [0.5000, 0.5000, 0.0000], [0.7500, 0.2500, 0.5000], [0.0000, 0.0000, 0.0000]], "dos_ef_per_ev_cell": 5.9, "e_form_raw_ev_per_fu": -0.08}


{"formula": "B5C7", "functional": "PBE-GGA", "state": "optimized geometry", "cell": [[-1.8688, 4.0041, 1.1136], [-2.1942, 1.5270, 3.6209], [5.0593, 0.7820, 1.5442]], "species": ["B", "B", "B", "B", "B", "C", "C", "C", "C", "C", "C", "C"], "fractional_positions": [[0.0492, 0.0015, 0.4919], [0.9959, 0.9981, 0.9988], [0.6560, 0.5905, 0.3079], [0.9260, 0.4885, 0.5971], [0.5376, 0.0734, 0.4281], [0.3690, 0.3581, 0.6937], [0.2215, 0.7179, 0.2340], [0.9106, 0.4137, 0.0678], [0.3131, 0.3167, 0.1604], [0.5712, 0.0943, 0.9220], [0.6682, 0.6910, 0.8489], [0.2819, 0.7561, 0.7492]], "formation_energy_mev_per_atom": 359.5, "dos_ef_per_ev_cell": 2.3}


{"formula": "Pm2HfPa", "functional": "PBE-GGA", "state": "optimized geometry", "cell": [[-2.7852, -1.5443, 0.8417], [-0.4852, -3.1305, -0.9031], [4.0089, -5.2579, 10.0644]], "species": ["Pa", "Hf", "Pm", "Pm"], "fractional_positions": [[0.0000, 0.0000, 0.0000], [0.5000, 0.5000, 0.5000], [0.0902, 0.0902, 0.7295], [0.9098, 0.9098, 0.2705]], "formation_energy_mev_per_atom": 333.2, "dos_ef_per_ev_cell": 5.9}


no.,calculated total energy (eV/atom)
1,-5.031
2,-6.879
3,-6.962
4,-6.301
5,-6.721
6,-1.838
7,-7.803
8,-6.904